This record from Alexandria describes a relaxed LaPm5Ho4 crystal. The functional is PBE.

Results
**Formation energy**: 0.2 eV per formula unit
**E above lowest polymorph**: 0 meV/atom
**Electronic total energy**: -4.679 eV/atom

Lattice parameters (Å, degrees): 3.622 3.622 25.396 90.00 90.00 90.00
Fractional coordinates of all 10 atoms:
La  0.000  0.000  0.000
Pm  0.500  0.500  0.105
Pm  0.500  0.500  0.303
Pm  0.500  0.500  0.500
Pm  0.500  0.500  0.697
Pm  0.500  0.500  0.895
Ho  0.000  0.000  0.204
Ho  0.000  0.000  0.401
Ho  0.000  0.000  0.599
Ho  0.000  0.000  0.796